(1)
Here is a geometry-optimized Nb2AlCr2 structure from the Alexandria database. Energies are from PBE.

POSCAR file:
```
Nb2AlCr2
1.0
6.898 0.000 0.000
0.000 6.898 0.000
0.000 0.000 3.285
Nb Al Cr
4 2 4
Direct
0.194 0.306 0.000
0.306 0.806 0.000
0.694 0.194 0.000
0.806 0.694 0.000
0.000 0.000 0.500
0.500 0.500 0.500
0.106 0.606 0.500
0.394 0.106 0.500
0.606 0.894 0.500
0.894 0.394 0.500
```

Computed properties:
Space-group type ... P4/mbm
DOS at the Fermi energy ... 0.78 states/eV per atom
DFT formation energy ... 95 meV/atom
Calculated total energy ... -8.531 eV/atom
Size of the total moment ... 0.00 μB per atom
Distance to the lowest polymorph of the same formula ... 0.0000 eV/atom


(2)
Here is a geometry-optimized NbAlCr2 structure from the Alexandria database. Energies are from PBE.

POSCAR file:
```
NbAlCr2
1.0
4.259 0.000 0.000
0.000 4.259 0.000
0.000 0.000 3.192
Nb Al Cr
1 1 2
Direct
0.000 0.000 0.000
0.500 0.500 0.000
0.000 0.500 0.500
0.500 0.000 0.500
```

Computed properties:
Space-group type ... P4/mmm
DOS at the Fermi energy ... 1.18 states/eV per atom
DFT formation energy ... -24 meV/atom
Calculated total energy ... -8.288 eV/atom
Size of the total moment ... 0.75 μB per atom


(3)
Here is a geometry-optimized Nb2AlCr2 structure from the Alexandria database. Energies are from PBE.

POSCAR file:
```
Nb2AlCr2
1.0
3.080 0.000 0.000
0.000 3.080 0.000
0.000 0.000 17.051
Nb Al Cr
4 2 4
Direct
0.000 0.000 0.110
0.000 0.000 0.890
0.500 0.500 0.390
0.500 0.500 0.610
0.000 0.000 0.500
0.500 0.500 0.000
0.000 0.500 0.250
0.000 0.500 0.750
0.500 0.000 0.250
0.500 0.000 0.750
```

Computed properties:
Space-group type ... I4/mmm
DOS at the Fermi energy ... 1.06 states/eV per atom
DFT formation energy ... 354 meV/atom
Calculated total energy ... -8.272 eV/atom
Size of the total moment ... 0.00 μB per atom
Distance to the lowest polymorph of the same formula ... 0.2588 eV/atom


(4)
Here is a geometry-optimized NbAl3Cr structure from the Alexandria database. Energies are from PBE.

POSCAR file:
```
NbAl3Cr
1.0
4.463 0.000 0.000
0.000 4.463 0.000
0.000 0.000 4.463
Nb Al Cr
1 3 1
Direct
0.000 0.000 0.000
0.000 0.500 0.500
0.500 0.000 0.500
0.500 0.500 0.000
0.500 0.500 0.500
```

Computed properties:
Space-group type ... Pm-3m
DOS at the Fermi energy ... 0.98 states/eV per atom
DFT formation energy ... 684 meV/atom
Calculated total energy ... -5.501 eV/atom
Size of the total moment ... 0.00 μB per atom
Distance to the lowest polymorph of the same formula ... 0.0000 eV/atom


(5)
Here is a geometry-optimized Nb2Al2Cr structure from the Alexandria database. Energies are from PBE.

POSCAR file:
```
Nb2Al2Cr
1.0
6.662 0.000 0.000
0.000 6.662 0.000
0.000 0.000 3.622
Nb Al Cr
4 4 2
Direct
0.171 0.329 0.000
0.329 0.829 0.000
0.671 0.171 0.000
0.829 0.671 0.000
0.133 0.633 0.500
0.367 0.133 0.500
0.633 0.867 0.500
0.867 0.367 0.500
0.000 0.000 0.500
0.500 0.500 0.500
```

Computed properties:
Space-group type ... P4/mbm
DOS at the Fermi energy ... 0.24 states/eV per atom
DFT formation energy ... -58 meV/atom
Calculated total energy ... -7.507 eV/atom
Size of the total moment ... 0.00 μB per atom


(6)
Here is a geometry-optimized NbAlCr structure from the Alexandria database. Energies are from PBE.

POSCAR file:
```
NbAlCr
1.0
8.353 0.000 0.000
0.000 2.492 4.294
0.000 -2.492 4.294
Nb Al Cr
4 4 4
Direct
0.182 0.000 0.000
0.308 0.669 0.669
0.692 0.669 0.669
0.818 0.000 0.000
0.245 0.326 0.326
0.500 0.167 0.676
0.500 0.676 0.167
0.755 0.326 0.326
0.000 0.501 0.501
0.000 0.501 0.976
0.000 0.976 0.501
0.500 0.167 0.167
```

Computed properties:
Space-group type ... Amm2
DOS at the Fermi energy ... 0.69 states/eV per atom
DFT formation energy ... -207 meV/atom
Calculated total energy ... -8.019 eV/atom
Size of the total moment ... 0.00 μB per atom
Distance to the lowest polymorph of the same formula ... 0.0000 eV/atom


(7)
Here is a geometry-optimized NbAl2Cr structure from the Alexandria database. Energies are from PBE.

POSCAR file:
```
NbAl2Cr
1.0
3.886 0.000 0.000
0.000 3.886 0.000
0.000 0.000 4.070
Nb Al Cr
1 2 1
Direct
0.000 0.000 0.000
0.000 0.500 0.500
0.500 0.000 0.500
0.500 0.500 0.000
```

Computed properties:
Space-group type ... P4/mmm
DOS at the Fermi energy ... 0.63 states/eV per atom
DFT formation energy ... -166 meV/atom
Calculated total energy ... -6.961 eV/atom
Size of the total moment ... 0.42 μB per atom
Distance to the lowest polymorph of the same formula ... 0.0000 eV/atom


(8)
Here is a geometry-optimized Nb2AlCr2 structure from the Alexandria database. Energies are from PBE.

POSCAR file:
```
Nb2AlCr2
1.0
7.279 0.000 0.000
0.000 7.279 0.000
0.000 0.000 3.132
Nb Al Cr
4 2 4
Direct
0.151 0.349 0.000
0.349 0.849 0.000
0.651 0.151 0.000
0.849 0.651 0.000
0.000 0.000 0.000
0.500 0.500 0.000
0.146 0.646 0.500
0.354 0.146 0.500
0.646 0.854 0.500
0.854 0.354 0.500
```

Computed properties:
Space-group type ... P4/mbm
DOS at the Fermi energy ... 1.06 states/eV per atom
DFT formation energy ... 428 meV/atom
Calculated total energy ... -8.197 eV/atom
Size of the total moment ... 0.66 μB per atom
Distance to the lowest polymorph of the same formula ... 0.3337 eV/atom


Which formula does entry 5 have?
Nb2Al2Cr


size of the total moment of number 5 (Nb2Al2Cr)?
0.00 μB per atom